Record 1
A relaxed structure of MgWAu2. Source: Alexandria, functional GGA-PBE.

a b c (Å): 4.0683 2.8243 6.6713
angles (deg): 64.63 90.00 90.00
Positions (direct):
1 Au 0.0000 0.4928 0.5079
2 Au 0.0000 0.0072 0.9921
3 Mg 0.5000 0.2500 0.2500
4 W 0.5000 0.7500 0.7500

Values from the calculation:
DFT total energy = -20.50 eV/cell
space-group type = P2/m, No. 10
energy of formation = 151 meV per atom


Record 2
A relaxed structure of MgW2Au. Source: Alexandria, functional GGA-PBE.

a b c (Å): 5.2324 5.2324 5.2324
angles (deg): 142.62 126.67 66.93
Positions (direct):
1 W 0.7656 0.2656 0.5000
2 W 0.9829 0.9829 0.0000
3 Mg 0.2529 0.7529 0.5000
4 Au 0.4986 0.4986 0.0000

Values from the calculation:
DFT total energy = -29.22 eV/cell
space-group type = Imm2, No. 44
energy of formation = 390 meV per atom


Record 3
A relaxed structure of Mg2WAu. Source: Alexandria, functional GGA-PBE.

a b c (Å): 2.8530 2.8530 8.9424
angles (deg): 90.00 90.00 90.19
Positions (direct):
1 Mg 0.0000 0.0000 0.9761
2 Mg 0.5000 0.5000 0.2689
3 Au 0.5000 0.5000 0.7456
4 W 0.0000 0.0000 0.5094

Values from the calculation:
DFT total energy = -18.78 eV/cell
relative energy among the computed polymorphs = 141 meV per atom
space-group type = Cmm2, No. 35
energy of formation = 161 meV per atom


Record 4
A relaxed structure of Mg2WAu. Source: Alexandria, functional GGA-PBE.

a b c (Å): 2.8556 2.8556 8.5252
angles (deg): 90.00 90.00 90.02
Positions (direct):
1 Mg 0.0000 0.0000 0.9956
2 Mg 0.0000 0.0000 0.5044
3 W 0.5000 0.5000 0.2500
4 Au 0.5000 0.5000 0.7500

Values from the calculation:
DFT total energy = -19.34 eV/cell
relative energy among the computed polymorphs = 0 meV per atom
space-group type = P4/mmm, No. 123
energy of formation = 20 meV per atom


Record 5
A relaxed structure of MgW2Au. Source: Alexandria, functional GGA-PBE.

a b c (Å): 2.7277 2.7277 9.3107
angles (deg): 90.00 90.00 102.13
Positions (direct):
1 Mg 0.5000 0.5000 0.7500
2 Au 0.5000 0.5000 0.2500
3 W 0.0000 0.0000 0.4977
4 W 0.0000 0.0000 0.0023

Values from the calculation:
DFT total energy = -28.93 eV/cell
space-group type = Cmmm, No. 65
energy of formation = 461 meV per atom


Record 6
A relaxed structure of Mg2WAu. Source: Alexandria, functional GGA-PBE.

a b c (Å): 4.6360 4.6360 4.6360
angles (deg): 60.00 60.00 60.00
Each line ends with the local moment (μB).
Positions (direct):
1 Mg 0.7500 0.7500 0.7500  0.00
2 Mg 0.2500 0.2500 0.2500  0.00
3 Au 0.5000 0.5000 0.5000  0.01
4 W 0.0000 0.0000 0.0000  1.82

Values from the calculation:
DFT total energy = -17.59 eV/cell
relative energy among the computed polymorphs = 438 meV per atom
space-group type = Fm-3m, No. 225
energy of formation = 458 meV per atom


Record 7
A relaxed structure of MgWAu2. Source: Alexandria, functional GGA-PBE.

a b c (Å): 5.6957 5.6957 5.6957
angles (deg): 150.93 126.82 61.75
Positions (direct):
1 Mg 0.7500 0.2500 0.5000
2 Au 0.4971 0.4971 0.0000
3 Au 0.0029 0.0029 0.0000
4 W 0.2500 0.7500 0.5000

Values from the calculation:
DFT total energy = -19.48 eV/cell
space-group type = Immm, No. 71
energy of formation = 406 meV per atom


Record 8
A relaxed structure of Mg2WAu. Source: Alexandria, functional GGA-PBE.

a b c (Å): 9.5929 9.5929 9.5929
angles (deg): 17.67 17.67 17.67
Positions (direct):
1 Mg 0.4985 0.4985 0.4985
2 Mg 0.0015 0.0015 0.0015
3 Au 0.7500 0.7500 0.7500
4 W 0.2500 0.2500 0.2500

Values from the calculation:
DFT total energy = -18.86 eV/cell
relative energy among the computed polymorphs = 121 meV per atom
space-group type = R-3m, No. 166
energy of formation = 141 meV per atom


Record 9
A relaxed structure of MgWAu2. Source: Alexandria, functional GGA-PBE.

a b c (Å): 4.1157 4.1157 9.5740
angles (deg): 77.59 77.59 90.00
Positions (direct):
1 W 0.0000 0.0000 0.0000
2 W 0.7500 0.2500 0.5000
3 Au 0.1248 0.6250 0.2500
4 Au 0.6252 0.1250 0.2500
5 Au 0.8750 0.8752 0.7500
6 Au 0.3750 0.3748 0.7500
7 Mg 0.2500 0.7500 0.5000
8 Mg 0.5000 0.5000 0.0000

Values from the calculation:
DFT total energy = -36.39 eV/cell
space-group type = I-42d, No. 122
energy of formation = 726 meV per atom


Record 10
A relaxed structure of MgWAu2. Source: Alexandria, functional GGA-PBE.

a b c (Å): 2.9108 2.9108 8.0671
angles (deg): 90.00 90.00 90.00
Positions (direct):
1 W 0.5000 0.5000 0.7500
2 Mg 0.5000 0.5000 0.2500
3 Au 0.0000 0.0000 0.5007
4 Au 0.0000 0.0000 0.9993

Values from the calculation:
DFT total energy = -21.03 eV/cell
space-group type = P4/mmm, No. 123
energy of formation = 17 meV per atom


Record 11
A relaxed structure of MgW2Au. Source: Alexandria, functional GGA-PBE.

a b c (Å): 9.8269 9.8269 9.8269
angles (deg): 16.66 16.66 16.66
Positions (direct):
1 Au 0.4991 0.4991 0.4991
2 W 0.2499 0.2499 0.2499
3 W 0.9993 0.9993 0.9993
4 Mg 0.7518 0.7518 0.7518

Values from the calculation:
DFT total energy = -29.56 eV/cell
space-group type = R3m, No. 160
energy of formation = 304 meV per atom


Record 12
A relaxed structure of MgW2Au. Source: Alexandria, functional GGA-PBE.

a b c (Å): 2.7436 4.2117 5.8967
angles (deg): 90.00 90.00 90.00
Positions (direct):
1 Au 0.0000 0.0000 0.5194
2 Mg 0.5000 0.5000 0.7359
3 W 0.5000 0.5000 0.2268
4 W 0.0000 0.0000 0.0179

Values from the calculation:
DFT total energy = -29.61 eV/cell
space-group type = Pmm2, No. 25
energy of formation = 293 meV per atom


Record 13
A relaxed structure of MgW4Au. Source: Alexandria, functional GGA-PBE.

a b c (Å): 5.3366 5.3366 5.3366
angles (deg): 60.00 60.00 60.00
Positions (direct):
1 Mg 0.0000 0.0000 0.0000
2 W 0.3741 0.3741 0.8776
3 W 0.3741 0.3741 0.3741
4 W 0.8776 0.3741 0.3741
5 W 0.3741 0.8776 0.3741
6 Au 0.7500 0.7500 0.7500

Values from the calculation:
DFT total energy = -53.16 eV/cell
space-group type = F-43m, No. 216
energy of formation = 587 meV per atom


Record 14
A relaxed structure of MgW2Au. Source: Alexandria, functional GGA-PBE.

a b c (Å): 2.7398 2.7398 8.9987
angles (deg): 90.00 90.00 90.00
Positions (direct):
1 W 0.5000 0.5000 0.2541
2 W 0.0000 0.0000 0.0011
3 Au 0.0000 0.0000 0.4996
4 Mg 0.5000 0.5000 0.7452

Values from the calculation:
DFT total energy = -29.75 eV/cell
space-group type = P4mm, No. 99
energy of formation = 258 meV per atom


Record 15
A relaxed structure of MgWAu2. Source: Alexandria, functional GGA-PBE.

a b c (Å): 5.1093 5.1093 5.1093
angles (deg): 133.13 133.13 68.46
Each line ends with the local moment (μB).
Positions (direct):
1 Au 0.0000 0.0000 0.0000  0.13
2 Au 0.2500 0.7500 0.5000  0.09
3 W 0.7500 0.2500 0.5000  1.24
4 Mg 0.5000 0.5000 0.0000  0.01

Values from the calculation:
DFT total energy = -19.59 eV/cell
space-group type = I-4m2, No. 119
energy of formation = 379 meV per atom


Record 16
A relaxed structure of Mg2WAu. Source: Alexandria, functional GGA-PBE.

a b c (Å): 4.0032 4.1631 4.1631
angles (deg): 90.00 90.00 90.00
Positions (direct):
1 Mg 0.0000 0.0000 0.0000
2 Mg 0.0000 0.5000 0.5000
3 Au 0.5000 0.0000 0.5000
4 W 0.5000 0.5000 0.0000

Values from the calculation:
DFT total energy = -18.37 eV/cell
relative energy among the computed polymorphs = 244 meV per atom
space-group type = P4/mmm, No. 123
energy of formation = 264 meV per atom


Record 17
A relaxed structure of MgW2Au. Source: Alexandria, functional GGA-PBE.

a b c (Å): 9.8820 9.8820 9.8820
angles (deg): 16.57 16.57 16.57
Positions (direct):
1 W 0.5014 0.5014 0.5014
2 W 0.9986 0.9986 0.9986
3 Mg 0.7500 0.7500 0.7500
4 Au 0.2500 0.2500 0.2500

Values from the calculation:
DFT total energy = -28.70 eV/cell
space-group type = R-3m, No. 166
energy of formation = 520 meV per atom


Record 18
A relaxed structure of MgWAu4. Source: Alexandria, functional GGA-PBE.

a b c (Å): 5.4496 5.4496 5.4496
angles (deg): 60.00 60.00 60.00
Each line ends with the local moment (μB).
Positions (direct):
1 Au 0.3750 0.3750 0.3750  0.04
2 Au 0.8751 0.3750 0.3750  0.04
3 Au 0.3750 0.8751 0.3750  0.04
4 Au 0.3750 0.3750 0.8751  0.04
5 W 0.0000 0.0000 0.0000  2.15
6 Mg 0.7500 0.7500 0.7500  -0.01

Values from the calculation:
DFT total energy = -24.85 eV/cell
space-group type = F-43m, No. 216
energy of formation = 468 meV per atom


Record 19
A relaxed structure of MgW2Au. Source: Alexandria, functional GGA-PBE.

a b c (Å): 5.2980 5.2980 2.7472
angles (deg): 90.00 90.00 119.50
Positions (direct):
1 Mg 0.0000 0.5000 0.5000
2 Au 0.5000 0.0000 0.5000
3 W 0.5000 0.5000 0.0000
4 W 0.0000 0.0000 0.0000

Values from the calculation:
DFT total energy = -29.20 eV/cell
space-group type = Cmmm, No. 65
energy of formation = 394 meV per atom


Record 20
A relaxed structure of Mg2WAu. Source: Alexandria, functional GGA-PBE.

a b c (Å): 4.5438 2.7790 5.6586
angles (deg): 80.38 90.00 90.00
Positions (direct):
1 Au 0.5000 0.7500 0.7500
2 Mg 0.0000 0.5662 0.4931
3 Mg 0.0000 0.9338 0.0069
4 W 0.5000 0.2500 0.2500

Values from the calculation:
DFT total energy = -18.39 eV/cell
relative energy among the computed polymorphs = 238 meV per atom
space-group type = P2/m, No. 10
energy of formation = 258 meV per atom


Record 21
A relaxed structure of Mg2WAu. Source: Alexandria, functional GGA-PBE.

a b c (Å): 5.0534 5.0534 5.2276
angles (deg): 77.79 77.79 32.85
Each line ends with the local moment (μB).
Positions (direct):
1 W 0.7500 0.7500 0.7500  0.23
2 Au 0.2500 0.2500 0.2500  0.01
3 Mg 0.5073 0.5073 0.5065  0.00
4 Mg 0.9927 0.9927 0.9935  0.00

Values from the calculation:
DFT total energy = -18.35 eV/cell
relative energy among the computed polymorphs = 247 meV per atom
space-group type = C2/m, No. 12
energy of formation = 266 meV per atom


Record 22
A relaxed structure of YMg3Au4. Source: Alexandria, functional GGA-PBE.

a b c (Å): 4.7994 6.8223 9.5984
angles (deg): 90.00 90.00 90.00
Positions (direct):
1 Mg 0.0000 0.0000 0.0000
2 Mg 0.4990 0.0000 0.7500
3 Mg 0.5010 0.0000 0.2500
4 Mg 0.4996 0.5000 0.7500
5 Mg 0.5004 0.5000 0.2500
6 Mg 0.0000 0.0000 0.5000
7 Au 0.5000 0.2339 0.5000
8 Au 0.5000 0.7661 0.0000
9 Au 0.5000 0.2339 0.0000
10 Au 0.0013 0.7659 0.2500
11 Au 0.0013 0.2341 0.2500
12 Au 0.9987 0.7659 0.7500
13 Au 0.5000 0.7661 0.5000
14 Au 0.9987 0.2341 0.7500
15 Y 0.0000 0.5000 0.5000
16 Y 0.0000 0.5000 0.0000

Values from the calculation:
DFT total energy = -59.45 eV/cell
space-group type = Pmma, No. 51
energy of formation = -671 meV per atom


Record 23
A relaxed structure of YMg3Au. Source: Alexandria, functional GGA-PBE.

a b c (Å): 6.0008 6.0008 6.0008
angles (deg): 90.00 90.00 90.00
Positions (direct):
1 Mg 0.5000 0.0000 0.0000
2 Mg 0.0000 0.5000 0.0000
3 Mg 0.0000 0.0000 0.5000
4 Au 0.5000 0.5000 0.5000
5 Y 0.0000 0.0000 0.0000

Values from the calculation:
DFT total energy = -8.68 eV/cell
relative energy among the computed polymorphs = 1289 meV per atom
space-group type = Pm-3m, No. 221
energy of formation = 1169 meV per atom


Record 24
A relaxed structure of Y2Mg4Au. Source: Alexandria, functional GGA-PBE.

a b c (Å): 4.9740 4.9740 8.7343
angles (deg): 73.46 73.46 90.00
Positions (direct):
1 Au 0.0000 0.0000 0.0000
2 Mg 0.8346 0.8346 0.3309
3 Mg 0.1654 0.1654 0.6691
4 Mg 0.0000 0.5000 0.0000
5 Mg 0.5000 0.0000 0.0000
6 Y 0.6363 0.6363 0.7274
7 Y 0.3637 0.3637 0.2726

Values from the calculation:
DFT total energy = -21.94 eV/cell
space-group type = I4/mmm, No. 139
energy of formation = 92 meV per atom


Record 25
A relaxed structure of Y2MgAu. Source: Alexandria, functional GGA-PBE.

a b c (Å): 6.2850 6.2850 5.1910
angles (deg): 65.67 65.67 33.38
Positions (direct):
1 Mg 0.7923 0.7923 0.7081
2 Y 0.2140 0.2140 0.2862
3 Y 0.0027 0.0027 0.9973
4 Au 0.4909 0.4909 0.5084

Values from the calculation:
DFT total energy = -19.46 eV/cell
space-group type = Cm, No. 8
energy of formation = -414 meV per atom


Record 26
A relaxed structure of Y2MgAu. Source: Alexandria, functional GGA-PBE.

a b c (Å): 4.6771 3.7690 6.1347
angles (deg): 72.14 90.00 90.00
Positions (direct):
1 Y 0.5000 0.2788 0.3167
2 Y 0.0000 0.9647 0.9450
3 Au 0.0000 0.6997 0.4776
4 Mg 0.5000 0.5567 0.7607

Values from the calculation:
DFT total energy = -19.44 eV/cell
space-group type = Pm, No. 6
energy of formation = -411 meV per atom


Record 27
A relaxed structure of YMgAu. Source: Alexandria, functional GGA-PBE.

a b c (Å): 4.0309 7.6914 7.6914
angles (deg): 120.00 90.00 90.00
Positions (direct):
1 Au 0.5000 0.0000 0.0000
2 Au 0.0000 0.6667 0.3333
3 Au 0.0000 0.3333 0.6667
4 Y 0.5000 0.5898 0.0000
5 Y 0.5000 0.0000 0.5898
6 Y 0.5000 0.4102 0.4102
7 Mg 0.0000 0.2490 0.0000
8 Mg 0.0000 0.7510 0.7510
9 Mg 0.0000 0.0000 0.2490

Values from the calculation:
DFT total energy = -40.26 eV/cell
space-group type = P-62m, No. 189
energy of formation = -694 meV per atom


Record 28
A relaxed structure of YMg2Au2. Source: Alexandria, functional GGA-PBE.

a b c (Å): 4.7701 4.8192 10.0868
angles (deg): 83.10 90.00 90.00
Positions (direct):
1 Y 0.2500 0.7896 0.3142
2 Y 0.7500 0.2104 0.6858
3 Au 0.7500 0.7432 0.1448
4 Au 0.2500 0.2468 0.4895
5 Au 0.7500 0.7532 0.5105
6 Au 0.2500 0.2568 0.8552
7 Mg 0.2500 0.7218 0.6628
8 Mg 0.7500 0.2692 0.0176
9 Mg 0.2500 0.7308 0.9824
10 Mg 0.7500 0.2782 0.3372

Values from the calculation:
DFT total energy = -38.28 eV/cell
relative energy among the computed polymorphs = 40 meV per atom
space-group type = P2_1/m, No. 11
energy of formation = -587 meV per atom